Computed, not measured: an optimized crystal structure of PPbWO2 at the GGA+U level of DFT.

Values from the calculation:
Final energy in eV/atom: -4.82
Magnetic moment in μB/f.u.: 2.959

CIF file:
```
data_PPbWO2
_space_group_name_H-M_alt 'P 1'
_space_group_IT_number 1
_cell_length_a 4.123
_cell_length_b 4.123
_cell_length_c 5.461
_cell_angle_alpha 90.00
_cell_angle_beta 90.00
_cell_angle_gamma 90.00
loop_
_space_group_symop_operation_xyz
'x,y,z'
loop_
_atom_site_label
_atom_site_type_symbol
_atom_site_fract_x
_atom_site_fract_y
_atom_site_fract_z
Pb1 Pb 0.000 0.000 0.000
W1 W 0.500 0.500 0.500
O1 O 0.000 0.500 0.000
O2 O 0.500 0.000 0.000
P1 P 0.000 0.000 0.500
```